No. 1
A relaxed Pr3Nd2HoTe6 crystal. Source: Alexandria, functional GGA-PBE.

Cell: 19.5837 4.4551 9.0433 Å, 90.00 103.31 90.00°
Space group C2/m (No. 12)
Symmetry-distinct sites (fractional):
1 Pr 0.0000 0.0000 0.0000 x2
2 Pr 0.1719 0.5000 0.3347 x4
3 Nd 0.1695 0.5000 0.8366 x4
4 Ho 0.0000 0.0000 0.5000 x2
5 Te 0.0006 0.5000 0.2616 x4
6 Te 0.1601 0.0000 0.5818 x4
7 Te 0.1658 0.0000 0.0816 x4

Calculated total energy, eV per cell: -128.3
ΔE_f (raw), eV per formula unit: -16.846
DOS(E_F), states/eV/atom: 0.557


No. 2
A relaxed Pr3Nd3HoTe8 crystal. Source: Alexandria, functional GGA-PBE.

Cell: 8.9784 8.9784 22.0422 Å, 90.00 90.00 120.00°
Space group R-3m (No. 166, hexagonal axes)
Symmetry-distinct sites (fractional):
1 Pr 0.0000 0.5000 0.0000 x9
2 Nd 0.0000 0.5000 0.5000 x9
3 Ho 0.0000 0.0000 0.5000 x3
4 Te 0.0000 0.0000 0.2492 x6
5 Te 0.0019 0.5010 0.2487 x18

Calculated total energy, eV per cell: -240.3
ΔE_f (raw), eV per formula unit: -21.733
DOS(E_F), states/eV/atom: 0.488


No. 3
A relaxed PrNd2Ho3Te6 crystal. Source: Alexandria, functional GGA-PBE.

Cell: 19.4252 4.3639 8.9733 Å, 90.00 105.17 90.00°
Space group C2/m (No. 12)
Symmetry-distinct sites (fractional):
1 Pr 0.0000 0.0000 0.0000 x2
2 Nd 0.1663 0.5000 0.3322 x4
3 Ho 0.0000 0.0000 0.5000 x2
4 Ho 0.1659 0.5000 0.8326 x4
5 Te 0.0029 0.5000 0.7404 x4
6 Te 0.1638 0.0000 0.5907 x4
7 Te 0.1707 0.0000 0.0755 x4

Calculated total energy, eV per cell: -126.0
ΔE_f (raw), eV per formula unit: -16.123
DOS(E_F), states/eV/atom: 0.487


No. 4
A relaxed Pr4Nd3HoTe8 crystal. Source: Alexandria, functional GGA-PBE.

Cell: 8.9825 8.9825 22.0905 Å, 90.00 90.00 120.00°
Space group R-3m (No. 166, hexagonal axes)
Symmetry-distinct sites (fractional):
1 Pr 0.0000 0.0000 0.0000 x3
2 Pr 0.0000 0.5000 0.0000 x9
3 Nd 0.0000 0.5000 0.5000 x9
4 Ho 0.0000 0.0000 0.5000 x3
5 Te 0.0000 0.0000 0.2491 x6
6 Te 0.0067 0.5034 0.2475 x18

Calculated total energy, eV per cell: -256.8
ΔE_f (raw), eV per formula unit: -22.462
DOS(E_F), states/eV/atom: 0.784


No. 5
A relaxed PrNdHo2Te6 crystal. Source: Alexandria, functional GGA-PBE.

Cell: 7.8440 7.8440 21.1786 Å, 90.00 90.00 120.00°
Space group R3 (No. 146, hexagonal axes)
Symmetry-distinct sites (fractional):
1 Pr 0.0000 0.0000 0.0000 x3
2 Nd 0.0000 0.0000 0.4988 x3
3 Ho 0.0000 0.0000 0.3084 x3
4 Ho 0.0000 0.0000 0.8092 x3
5 Te 0.0135 0.6433 0.0658 x9
6 Te 0.0137 0.3664 0.5659 x9

Calculated total energy, eV per cell: -153.7
ΔE_f (raw), eV per formula unit: -13.665


No. 6
A relaxed PrNd3Ho3Te8 crystal. Source: Alexandria, functional GGA-PBE.

Cell: 8.8057 8.8057 21.6233 Å, 90.00 90.00 120.00°
Space group R-3m (No. 166, hexagonal axes)
Symmetry-distinct sites (fractional):
1 Pr 0.0000 0.0000 0.0000 x3
2 Nd 0.0000 0.5000 0.5000 x9
3 Ho 0.0000 0.5000 0.0000 x9
4 Te 0.0000 0.0000 0.2543 x6
5 Te 0.0193 0.5096 0.2495 x18

Calculated total energy, eV per cell: -237.2
ΔE_f (raw), eV per formula unit: -21.128
DOS(E_F), states/eV/atom: 0.463


No. 7
A relaxed Pr4NdHo3Te8 crystal. Source: Alexandria, functional GGA-PBE.

Cell: 8.8175 8.8175 22.3025 Å, 90.00 90.00 120.00°
Space group R-3m (No. 166, hexagonal axes)
Symmetry-distinct sites (fractional):
1 Pr 0.0000 0.0000 0.0000 x3
2 Pr 0.0000 0.5000 0.0000 x9
3 Nd 0.0000 0.0000 0.5000 x3
4 Ho 0.0000 0.5000 0.5000 x9
5 Te 0.0000 0.0000 0.2444 x6
6 Te 0.0065 0.5033 0.7541 x18

Calculated total energy, eV per cell: -253.7
ΔE_f (raw), eV per formula unit: -21.823
DOS(E_F), states/eV/atom: 0.697


No. 8
A relaxed Pr5NdHo2Th crystal. Source: Alexandria, functional GGA-PBE.

Cell: 5.7476 20.6797 10.6591 Å, 90.00 90.00 90.00°
Space group Cmc2_1 (No. 36)
Symmetry-distinct sites (fractional):
1 Pr 0.0000 0.0148 0.0000 x4
2 Pr 0.0000 0.2768 0.7071 x4
3 Pr 0.0000 0.2921 0.3177 x4
4 Pr 0.0000 0.3858 0.9946 x4
5 Pr 0.0000 0.4789 0.2779 x4
6 Nd 0.0000 0.4090 0.5701 x4
7 Ho 0.0000 0.1130 0.2841 x4
8 Ho 0.0000 0.1164 0.7054 x4
9 Th 0.0000 0.1984 0.0087 x4

Calculated total energy, eV per cell: -175.2
DOS(E_F), states/eV/atom: 1.473


No. 9
A relaxed PrNdHoTh crystal. Source: Alexandria, functional GGA-PBE.

Cell: 6.2862 3.6269 11.9640 Å, 90.00 100.10 90.00°
Space group Cm (No. 8)
Symmetry-distinct sites (fractional):
1 Pr 0.0000 0.0000 0.0000 x2
2 Nd 0.2439 0.0000 0.7340 x2
3 Ho 0.4166 0.0000 0.2523 x2
4 Th 0.3302 0.5000 0.4902 x2

Calculated total energy, eV per cell: -42.9
DOS(E_F), states/eV/atom: 1.443


No. 10
A relaxed Pr2Nd5HoTh crystal. Source: Alexandria, functional GGA-PBE.

Cell: 5.7322 20.8326 10.6671 Å, 90.00 90.00 90.00°
Space group Cmc2_1 (No. 36)
Symmetry-distinct sites (fractional):
1 Pr 0.0000 0.1151 0.0000 x4
2 Pr 0.0000 0.1148 0.4230 x4
3 Nd 0.0000 0.0141 0.7057 x4
4 Nd 0.0000 0.2750 0.0042 x4
5 Nd 0.0000 0.2928 0.3936 x4
6 Nd 0.0000 0.3825 0.7123 x4
7 Nd 0.0000 0.4844 0.4347 x4
8 Ho 0.0000 0.4036 0.1525 x4
9 Th 0.0000 0.1986 0.7009 x4

Calculated total energy, eV per cell: -176.4
DOS(E_F), states/eV/atom: 1.447


No. 11
A relaxed PrNd4Ho2Th crystal. Source: Alexandria, functional GGA-PBE.

Cell: 11.5200 5.1449 10.2646 Å, 90.00 116.60 90.00°
Space group C2/m (No. 12)
Symmetry-distinct sites (fractional):
1 Pr 0.0000 0.0000 0.0000 x2
2 Nd 0.2473 0.5000 0.6212 x4
3 Nd 0.2484 0.0000 0.8710 x4
4 Ho 0.0016 0.5000 0.7449 x4
5 Th 0.0000 0.0000 0.5000 x2

Calculated total energy, eV per cell: -80.2
DOS(E_F), states/eV/atom: 1.629


No. 12
A relaxed PrNdHoTh crystal. Source: Alexandria, functional GGA-PBE.

Cell: 8.1398 8.1398 8.1398 Å, 90.00 90.00 90.00°
Space group F-43m (No. 216)
Symmetry-distinct sites (fractional):
1 Pr 0.0000 0.0000 0.0000 x4
2 Nd 0.2500 0.2500 0.2500 x4
3 Ho 0.2500 0.2500 0.7500 x4
4 Th 0.0000 0.0000 0.5000 x4

Calculated total energy, eV per cell: -83.5
DOS(E_F), states/eV/atom: 2.059


No. 13
A relaxed PrNdHo2Th crystal. Source: Alexandria, functional GGA-PBE.

Cell: 6.2845 5.8389 9.6570 Å, 90.00 108.94 90.00°
Space group P2_1/m (No. 11)
Symmetry-distinct sites (fractional):
1 Pr 0.0733 0.2500 0.2953 x2
2 Nd 0.2758 0.2500 0.7037 x2
3 Ho 0.3300 0.7500 0.4930 x2
4 Ho 0.4551 0.2500 0.0971 x2
5 Th 0.1305 0.7500 0.0907 x2

Calculated total energy, eV per cell: -51.8
DOS(E_F), states/eV/atom: 1.609


No. 14
A relaxed Pr2NdHo5Th crystal. Source: Alexandria, functional GGA-PBE.

Cell: 5.6576 20.1167 10.5695 Å, 90.00 90.00 90.00°
Space group Cmc2_1 (No. 36)
Symmetry-distinct sites (fractional):
1 Pr 0.0000 0.1145 0.0000 x4
2 Pr 0.0000 0.1163 0.4089 x4
3 Nd 0.0000 0.4132 0.1320 x4
4 Ho 0.0000 0.0167 0.7049 x4
5 Ho 0.0000 0.2776 0.9948 x4
6 Ho 0.0000 0.2985 0.3896 x4
7 Ho 0.0000 0.3888 0.7035 x4
8 Ho 0.0000 0.4789 0.4175 x4
9 Th 0.0000 0.2024 0.6929 x4

Calculated total energy, eV per cell: -172.7
DOS(E_F), states/eV/atom: 1.542


No. 15
A relaxed PrNd2HoTh crystal. Source: Alexandria, functional GGA-PBE.

Cell: 8.6801 6.4907 6.4360 Å, 90.00 97.91 90.00°
Space group P2/c (No. 13)
Symmetry-distinct sites (fractional):
1 Pr 0.0000 0.0000 0.0000 x2
2 Nd 0.3148 0.3102 0.2045 x4
3 Ho 0.5000 0.1712 0.7500 x2
4 Th 0.0000 0.4524 0.7500 x2

Calculated total energy, eV per cell: -49.5
DOS(E_F), states/eV/atom: 1.333


No. 16
A relaxed Pr6Nd2HoTh crystal. Source: Alexandria, functional GGA-PBE.

Cell: 9.3621 15.2317 10.0653 Å, 90.00 99.76 90.00°
Space group C2/c (No. 15)
Symmetry-distinct sites (fractional):
1 Pr 0.0707 0.1813 0.4445 x8
2 Pr 0.0970 0.3974 0.6194 x8
3 Pr 0.2048 0.2167 0.8106 x8
4 Nd 0.2395 0.0452 0.0467 x8
5 Ho 0.0000 0.4066 0.2500 x4
6 Th 0.0000 0.0196 0.7500 x4

Calculated total energy, eV per cell: -195.2
DOS(E_F), states/eV/atom: 1.458


No. 17
A relaxed Pr5Nd2HoTh crystal. Source: Alexandria, functional GGA-PBE.

Cell: 5.5023 22.1555 10.6305 Å, 90.00 90.00 90.00°
Space group Cmcm (No. 63)
Symmetry-distinct sites (fractional):
1 Pr 0.0000 0.0000 0.0000 x4
2 Pr 0.0000 0.1283 0.2500 x4
3 Pr 0.0000 0.2231 0.5586 x8
4 Pr 0.0000 0.4989 0.7500 x4
5 Nd 0.0000 0.3872 0.0029 x8
6 Ho 0.0000 0.1025 0.7500 x4
7 Th 0.0000 0.2894 0.2500 x4

Calculated total energy, eV per cell: -176.9
DOS(E_F), states/eV/atom: 1.386


No. 18
A relaxed Pr2NdHoTh crystal. Source: Alexandria, functional GGA-PBE.

Cell: 9.1567 6.4014 6.5408 Å, 90.00 109.85 90.00°
Space group P2/c (No. 13)
Symmetry-distinct sites (fractional):
1 Pr 0.1857 0.1885 0.3411 x4
2 Nd 0.0000 0.3331 0.7500 x2
3 Ho 0.5000 0.0039 0.7500 x2
4 Th 0.5000 0.5000 0.0000 x2

Calculated total energy, eV per cell: -49.5
DOS(E_F), states/eV/atom: 1.462


No. 19
A relaxed PrNd3Ho6Th2 crystal. Source: Alexandria, functional GGA-PBE.

Cell: 6.2417 10.8070 11.7561 Å, 90.00 100.23 90.00°
Space group C2/m (No. 12)
Symmetry-distinct sites (fractional):
1 Pr 0.0000 0.0000 0.0000 x2
2 Nd 0.0000 0.1662 0.5000 x4
3 Nd 0.0000 0.5000 0.5000 x2
4 Ho 0.2440 0.5000 0.2459 x4
5 Ho 0.2484 0.3308 0.7543 x8
6 Th 0.0000 0.3334 0.0000 x4

Calculated total energy, eV per cell: -122.2
DOS(E_F), states/eV/atom: 1.303


No. 20
A relaxed Pr4NdHo2Th crystal. Source: Alexandria, functional GGA-PBE.

Cell: 5.1411 5.1536 10.3546 Å, 90.00 90.05 90.00°
Space group P2/m (No. 10)
Symmetry-distinct sites (fractional):
1 Pr 0.9998 0.0000 0.2455 x2
2 Pr 0.4999 0.5000 0.2466 x2
3 Nd 0.5000 0.0000 0.5000 x1
4 Ho 0.0000 0.5000 0.5000 x1
5 Ho 0.5000 0.0000 0.0000 x1
6 Th 0.0000 0.5000 0.0000 x1

Calculated total energy, eV per cell: -40.1
DOS(E_F), states/eV/atom: 1.547